A relaxed structure of LiRu2Cl2. Source: Alexandria, functional GGA-PBE.

a = 7.7906 Å, b = 7.7906 Å, c = 3.1235 Å
α = 90.00°, β = 90.00°, γ = 90.00°
Last column: nearest neighbours and their distance in Å.
Space group P4/mbm (No. 127)
One atom of each set of equivalent atoms:
1 Li 0.0000 0.0000 0.0000 [2 per cell]  2 Li 3.12, 8 Cl 3.17, 4 Ru 3.21
2 Ru 0.1008 0.3992 0.0000 [4 per cell]  1 Ru 2.22, 2 Cl 2.40
3 Cl 0.2333 0.7333 0.5000 [4 per cell]  2 Ru 2.40

Values from the calculation:
Its crystal system is tetragonal. The calculation puts the calculated volume at 18.96 Å³ per atom. The final energy comes out at -4.3890 eV per atom. The uncorrected formation energy is 443 meV/atom.

A relaxed structure of K3Nd3SnTe8. Source: Alexandria, functional GGA-PBE.

a = 15.6996 Å, b = 9.0486 Å, c = 9.9604 Å
α = 90.00°, β = 121.73°, γ = 90.00°
Last column: nearest neighbours and their distance in Å.
Space group C2/m (No. 12)
One atom of each set of equivalent atoms:
1 K 0.0000 0.0000 0.0000 [2 per cell]  6 Te 3.56-3.57
2 K 0.2500 0.2500 0.0000 [4 per cell]  6 Te 3.56-3.57
3 Nd 0.0000 0.5000 0.5000 [2 per cell]  6 Te 3.19
4 Nd 0.2500 0.2500 0.5000 [4 per cell]  6 Te 3.19
5 Sn 0.0000 0.0000 0.5000 [2 per cell]  6 Te 3.05
6 Te 0.0110 0.2391 0.2940 [8 per cell]  1 Sn 3.05, 2 Nd 3.19
7 Te 0.2282 0.0000 0.7061 [4 per cell]  1 Sn 3.05, 2 Nd 3.19
8 Te 0.2383 0.5000 0.7148 [4 per cell]  3 Nd 3.19, 3 K 3.56

Values from the calculation:
Its crystal system is monoclinic. The calculation puts the calculated volume at 40.11 Å³ per atom. The final energy comes out at -4.2265 eV per atom. The uncorrected formation energy is -1111 meV/atom.

A relaxed structure of ScNi3As. Source: Alexandria, functional GGA-PBE.

a = 4.3371 Å, b = 4.3371 Å, c = 4.3371 Å
α = 90.00°, β = 90.00°, γ = 90.00°
Last column: nearest neighbours and their distance in Å.
Space group Pm-3m (No. 221)
One atom of each set of equivalent atoms:
1 Sc 0.0000 0.0000 0.0000 [1 per cell]  12 Ni 3.07
2 Ni 0.0000 0.5000 0.5000 [3 per cell]  2 As 2.17
3 As 0.5000 0.5000 0.5000 [1 per cell]  6 Ni 2.17

Values from the calculation:
Its crystal system is cubic. The calculation puts the calculated volume at 16.32 Å³ per atom. The final energy comes out at -5.7291 eV per atom. For the formation enthalpy at 0 K, the calculation gives -0.0641 eV per atom.

A relaxed structure of K2SbRu. Source: Alexandria, functional GGA-PBE.

a = 5.3038 Å, b = 5.3038 Å, c = 7.4891 Å
α = 90.00°, β = 90.00°, γ = 90.00°
Last column: nearest neighbours and their distance in Å.
Space group I-4m2 (No. 119)
One atom of each set of equivalent atoms:
1 K 0.0000 0.0000 0.0000 [2 per cell]  4 Sb 3.25, 4 K 3.25
2 K 0.0000 0.5000 0.2500 [2 per cell]  4 K 3.25, 4 Ru 3.25
3 Sb 0.0000 0.5000 0.7500 [2 per cell]  4 Ru 3.25, 4 K 3.25
4 Ru 0.0000 0.0000 0.5000 [2 per cell]  4 K 3.25, 4 Sb 3.25

Values from the calculation:
Its crystal system is tetragonal. The calculation puts the calculated volume at 26.33 Å³ per atom. The final energy comes out at -3.3308 eV per atom. The uncorrected formation energy is 568 meV/atom.

A relaxed structure of TiIn. Source: Alexandria, functional GGA-PBE.

a = 2.9936 Å, b = 2.9936 Å, c = 4.2778 Å
α = 90.00°, β = 90.00°, γ = 90.00°
Last column: nearest neighbours and their distance in Å.
Space group P4/mmm (No. 123)
One atom of each set of equivalent atoms:
1 Ti 0.0000 0.0000 0.0000 [1 per cell]  4 Ti 2.99, 8 In 3.01
2 In 0.5000 0.5000 0.5000 [1 per cell]  4 In 2.99, 8 Ti 3.01

Values from the calculation:
Its crystal system is tetragonal. The calculation puts the calculated volume at 19.17 Å³ per atom. The final energy comes out at -5.4652 eV per atom. For the formation enthalpy at 0 K, the calculation gives -0.1486 eV per atom.

A relaxed structure of Pr2Be2Pd5. Source: Alexandria, functional GGA-PBE.

a = 4.1238 Å, b = 4.1238 Å, c = 9.2783 Å
α = 90.00°, β = 90.00°, γ = 90.00°
Last column: nearest neighbours and their distance in Å.
Space group P4/mmm (No. 123)
One atom of each set of equivalent atoms:
1 Pr 0.0000 0.0000 0.0000 [1 per cell]  8 Pd 3.16, 8 Be 3.19
2 Pr 0.0000 0.0000 0.5000 [1 per cell]  12 Pd 2.92-3.05
3 Be 0.5000 0.5000 0.1404 [2 per cell]  4 Pd 2.33, 1 Be 2.60
4 Pd 0.0000 0.5000 0.2579 [4 per cell]  2 Be 2.33
5 Pd 0.5000 0.5000 0.5000 [1 per cell]  4 Pr 2.92, 8 Pd 3.05

Values from the calculation:
Its crystal system is tetragonal. The calculation puts the calculated volume at 17.53 Å³ per atom. The final energy comes out at -5.4179 eV per atom. For the formation enthalpy at 0 K, the calculation gives -0.6429 eV per atom.